# 1
Computed, not measured: BaSn at its PBEsol-relaxed geometry at the meta-GGA SCAN level of DFT.

Cell: 6.7965 6.7965 4.6289 Å, 90.00 90.00 134.38°
With the nearest neighbours (Å) after each atom.
Positions (direct):
Ba 0.1364 0.8636 0.7500  7 Sn 3.60-3.72
Ba 0.8636 0.1364 0.2500  7 Sn 3.60-3.72
Sn 0.4270 0.5730 0.7500  2 Sn 2.95
Sn 0.5730 0.4270 0.2500  2 Sn 2.95

Space-group type: Cmcm
Total moment (μB per formula unit): 0.0
ΔH_f (0 K) (eV per atom): -0.815

=====

# 2
Computed, not measured: Li2GeF6 at its PBEsol-relaxed geometry at the meta-GGA SCAN level of DFT.

Cell: 8.3993 8.3993 4.5863 Å, 90.00 90.00 120.00°
With the nearest neighbours (Å) after each atom.
Positions (direct):
Li 0.0000 0.3657 0.0000  6 F 1.98-2.14
Li 0.0000 0.7023 0.5000  6 F 1.94-2.12
Li 0.2977 0.2977 0.5000  6 F 1.94-2.12
Li 0.3657 0.0000 0.0000  6 F 1.98-2.14
Li 0.6343 0.6343 0.0000  6 F 1.98-2.14
Li 0.7023 0.0000 0.5000  6 F 1.94-2.12
Ge 0.0000 0.0000 0.0000  6 F 1.81
Ge 0.3333 0.6667 0.4888  6 F 1.82
Ge 0.6667 0.3333 0.5112  6 F 1.82
F 0.0963 0.2061 0.2218  1 Ge 1.81, 1 Li 1.94
F 0.1098 0.9037 0.2218  1 Ge 1.81, 1 Li 1.94
F 0.1280 0.5793 0.2655  1 Ge 1.82, 1 Li 1.98
F 0.2061 0.0963 0.7782  1 Ge 1.81, 1 Li 1.94
F 0.2229 0.4604 0.7118  1 Ge 1.82, 1 Li 2.02
F 0.2375 0.7771 0.7118  1 Ge 1.82, 1 Li 2.02
F 0.4207 0.5487 0.2655  1 Ge 1.82, 1 Li 1.98
F 0.4513 0.8720 0.2655  1 Ge 1.82, 1 Li 1.98
F 0.4604 0.2229 0.2882  1 Ge 1.82, 1 Li 2.02
F 0.5396 0.7625 0.7118  1 Ge 1.82, 1 Li 2.02
F 0.5487 0.4207 0.7345  1 Ge 1.82, 1 Li 1.98
F 0.5793 0.1280 0.7345  1 Ge 1.82, 1 Li 1.98
F 0.7625 0.5396 0.2882  1 Ge 1.82, 1 Li 2.02
F 0.7771 0.2375 0.2882  1 Ge 1.82, 1 Li 2.02
F 0.7939 0.8902 0.2218  1 Ge 1.81, 1 Li 1.94
F 0.8720 0.4513 0.7345  1 Ge 1.82, 1 Li 1.98
F 0.8902 0.7939 0.7782  1 Ge 1.81, 1 Li 1.94
F 0.9037 0.1098 0.7782  1 Ge 1.81, 1 Li 1.94

Formation energy without anion corrections (eV per atom): -2.898
Space-group type: P321
Total moment (μB per formula unit): 0.0
Relative energy among the computed polymorphs (eV/atom): 0.007

=====

| no. | DFT total energy (eV per atom) |
| --- | --- |
| 1 | -38.5503 |
| 2 | -7.9095 |